# 1
Entry from Alexandria via LeMat-Bulk: crystalline Co2PIr at its relaxed geometry (GGA-PBE).

abc: 3.503 3.503 8.859
angles: 78.60 78.60 90.00
Site moments in Bohr magnetons follow the coordinates.
Fractional coordinates of all 8 atoms:
P (0.500, 0.500, 0.000)  -0.01
P (0.250, 0.750, 0.500)  -0.02
Ir (0.000, 0.000, 0.000)  0.22
Ir (0.750, 0.250, 0.500)  0.21
Co (0.593, 0.125, 0.250)  1.32
Co (0.157, 0.625, 0.250)  1.33
Co (0.375, 0.407, 0.750)  1.41
Co (0.875, 0.843, 0.750)  1.41

Results
The magnetization is 0.7337 μB/atom. For the formation energy, the calculation gives 0.24 eV per atom. For the total energy, the calculation gives -55.1 eV for the cell shown.

---

# 2
Entry from Alexandria via LeMat-Bulk: crystalline Co2PIr at its relaxed geometry (GGA-PBE).

abc: 3.677 3.552 3.552
angles: 90.00 90.00 90.00
Fractional coordinates of all 4 atoms:
Co (0.000, 0.000, 0.000)
Co (0.000, 0.500, 0.500)
Ir (0.500, 0.500, 0.000)
P (0.500, 0.000, 0.500)

Results
The magnetization is 0.0000 μB/atom. For the formation energy, the calculation gives -0.08 eV per atom. For the total energy, the calculation gives -28.8 eV for the cell shown.

---

# 3
Entry from Alexandria via LeMat-Bulk: crystalline Co4PIr at its relaxed geometry (GGA-PBE).

abc: 4.701 4.701 4.701
angles: 60.00 60.00 60.00
Site moments in Bohr magnetons follow the coordinates.
Fractional coordinates of all 6 atoms:
Co (0.875, 0.375, 0.375)  1.74
Co (0.375, 0.375, 0.875)  1.74
Co (0.375, 0.875, 0.375)  1.74
Co (0.375, 0.375, 0.375)  1.74
P (0.000, 0.000, 0.000)  0.05
Ir (0.750, 0.750, 0.750)  0.64

Results
The magnetization is 1.2720 μB/atom. For the formation energy, the calculation gives 0.36 eV per atom. For the total energy, the calculation gives -40.5 eV for the cell shown.

---

# 4
Entry from Alexandria via LeMat-Bulk: crystalline CoP2Ir at its relaxed geometry (GGA-PBE).

abc: 2.958 2.961 5.687
angles: 90.00 90.00 90.00
Site moments in Bohr magnetons follow the coordinates.
Fractional coordinates of all 4 atoms:
Co (0.500, 0.500, 0.250)  0.43
Ir (0.500, 0.500, 0.750)  0.28
P (0.000, 0.000, 0.023)  0.01
P (0.000, 0.000, 0.477)  0.01

Results
The magnetization is 0.1770 μB/atom. For the formation energy, the calculation gives 0.06 eV per atom. The excess energy over the best structure of this formula in the dataset comes out at 43.7 kJ/mol of atoms. For the total energy, the calculation gives -26.6 eV for the cell shown.

---

# 5
Entry from Alexandria via LeMat-Bulk: crystalline Co2PIr at its relaxed geometry (GGA-PBE).

abc: 4.090 4.090 4.090
angles: 60.00 60.00 60.00
Site moments in Bohr magnetons follow the coordinates.
Fractional coordinates of all 4 atoms:
Co (0.000, 0.000, 0.000)  1.44
Co (0.250, 0.250, 0.250)  1.32
Ir (0.500, 0.500, 0.500)  0.45
P (0.750, 0.750, 0.750)  0.01

Results
The magnetization is 0.8008 μB/atom. For the formation energy, the calculation gives 0.05 eV per atom. For the total energy, the calculation gives -28.3 eV for the cell shown.

---

# 6
Entry from Alexandria via LeMat-Bulk: crystalline CoP3Ir at its relaxed geometry (GGA-PBE).

abc: 5.191 3.230 9.502
angles: 90.00 117.65 90.00
Fractional coordinates of all 10 atoms:
P (0.855, 0.000, 0.513)
P (0.855, 0.500, 0.013)
P (0.245, 0.000, 0.335)
P (0.245, 0.500, 0.835)
P (0.346, 0.000, 0.590)
P (0.346, 0.500, 0.090)
Ir (0.742, 0.000, 0.166)
Ir (0.742, 0.500, 0.666)
Co (0.558, 0.000, 0.850)
Co (0.558, 0.500, 0.350)

Results
The magnetization is 0.0000 μB/atom. For the formation energy, the calculation gives -0.28 eV per atom. The excess energy over the best structure of this formula in the dataset comes out at 4.8 kJ/mol of atoms. For the total energy, the calculation gives -67.1 eV for the cell shown.

---

# 7
Entry from Alexandria via LeMat-Bulk: crystalline Co2PIr at its relaxed geometry (GGA-PBE).

abc: 2.793 2.793 6.186
angles: 90.00 90.00 90.00
Site moments in Bohr magnetons follow the coordinates.
Fractional coordinates of all 4 atoms:
Co (0.000, 0.000, 0.968)  0.99
Co (0.500, 0.500, 0.234)  1.77
Ir (0.000, 0.000, 0.525)  0.24
P (0.500, 0.500, 0.773)  -0.01

Results
The magnetization is 0.7357 μB/atom. For the formation energy, the calculation gives -0.03 eV per atom. For the total energy, the calculation gives -28.6 eV for the cell shown.

---

# 8
Entry from Alexandria via LeMat-Bulk: crystalline CoP2Ir at its relaxed geometry (GGA-PBE).

abc: 7.233 7.233 7.233
angles: 23.73 23.73 23.73
Site moments in Bohr magnetons follow the coordinates.
Fractional coordinates of all 4 atoms:
Co (0.515, 0.515, 0.515)  0.18
Ir (0.742, 0.742, 0.742)  0.00
P (0.000, 0.000, 0.000)  0.00
P (0.243, 0.243, 0.243)  -0.01

Results
The magnetization is 0.0412 μB/atom. For the formation energy, the calculation gives -0.07 eV per atom. The excess energy over the best structure of this formula in the dataset comes out at 30.9 kJ/mol of atoms. For the total energy, the calculation gives -27.1 eV for the cell shown.

---

# 9
Entry from Alexandria via LeMat-Bulk: crystalline Co2PIr at its relaxed geometry (GGA-PBE).

abc: 4.278 4.278 2.673
angles: 90.00 90.00 90.00
Site moments in Bohr magnetons follow the coordinates.
Fractional coordinates of all 4 atoms:
Co (0.000, 0.000, 0.000)  0.84
Co (0.500, 0.500, 0.000)  0.84
Ir (0.500, 0.000, 0.500)  0.18
P (0.000, 0.500, 0.500)  -0.01

Results
The magnetization is 0.4518 μB/atom. For the formation energy, the calculation gives 0.16 eV per atom. For the total energy, the calculation gives -27.9 eV for the cell shown.

---

# 10
Entry from Alexandria via LeMat-Bulk: crystalline Co2PIr at its relaxed geometry (GGA-PBE).

abc: 7.775 7.775 7.775
angles: 19.89 19.89 19.89
Site moments in Bohr magnetons follow the coordinates.
Fractional coordinates of all 4 atoms:
Co (0.011, 0.011, 0.011)  0.67
Co (0.489, 0.489, 0.489)  0.67
Ir (0.250, 0.250, 0.250)  0.46
P (0.750, 0.750, 0.750)  -0.02

Results
The magnetization is 0.4349 μB/atom. For the formation energy, the calculation gives -0.10 eV per atom. For the total energy, the calculation gives -28.9 eV for the cell shown.

---

# 11
Entry from Alexandria via LeMat-Bulk: crystalline CoP2Ir at its relaxed geometry (GGA-PBE).

abc: 4.649 4.649 3.819
angles: 66.24 66.24 110.01
Fractional coordinates of all 4 atoms:
Co (0.500, 0.000, 0.500)
Ir (0.000, 0.500, 0.500)
P (0.000, 0.000, 0.000)
P (0.500, 0.500, 0.000)

Results
The magnetization is 0.0050 μB/atom. For the formation energy, the calculation gives 0.11 eV per atom. The excess energy over the best structure of this formula in the dataset comes out at 49.0 kJ/mol of atoms. For the total energy, the calculation gives -26.3 eV for the cell shown.

---

# 12
Entry from Alexandria via LeMat-Bulk: crystalline CoP2Ir at its relaxed geometry (GGA-PBE).

abc: 4.863 4.863 4.863
angles: 138.03 138.03 60.86
Site moments in Bohr magnetons follow the coordinates.
Fractional coordinates of all 4 atoms:
Co (0.500, 0.500, 0.000)  0.33
Ir (0.750, 0.250, 0.500)  0.02
P (0.000, 0.000, 0.000)  0.01
P (0.250, 0.750, 0.500)  0.01

Results
The magnetization is 0.0945 μB/atom. For the formation energy, the calculation gives 0.14 eV per atom. The excess energy over the best structure of this formula in the dataset comes out at 51.3 kJ/mol of atoms. For the total energy, the calculation gives -26.2 eV for the cell shown.

---

# 13
Entry from Alexandria via LeMat-Bulk: crystalline CoPIr3 at its relaxed geometry (GGA-PBE).

abc: 4.348 4.348 4.348
angles: 90.00 90.00 90.00
Fractional coordinates of all 5 atoms:
P (0.000, 0.000, 0.000)
Ir (0.000, 0.500, 0.000)
Ir (0.000, 0.000, 0.500)
Ir (0.500, 0.000, 0.000)
Co (0.500, 0.500, 0.500)

Results
The magnetization is 0.0001 μB/atom. For the formation energy, the calculation gives 0.93 eV per atom. The excess energy over the best structure of this formula in the dataset comes out at 0.0 kJ/mol of atoms. For the total energy, the calculation gives -34.5 eV for the cell shown.

---

# 14
Entry from Alexandria via LeMat-Bulk: crystalline CoPIr at its relaxed geometry (GGA-PBE).

abc: 2.789 2.789 5.604
angles: 90.00 90.00 120.00
Site moments in Bohr magnetons follow the coordinates.
Fractional coordinates of all 3 atoms:
Co (0.000, 0.000, 0.962)  0.74
Ir (0.333, 0.667, 0.355)  0.04
P (0.667, 0.333, 0.683)  0.00

Results
The magnetization is 0.2518 μB/atom. For the formation energy, the calculation gives -0.09 eV per atom. For the total energy, the calculation gives -21.6 eV for the cell shown.

---

# 15
Entry from Alexandria via LeMat-Bulk: crystalline CoP2Ir at its relaxed geometry (GGA-PBE).

abc: 3.737 3.674 4.131
angles: 95.23 90.00 90.00
Fractional coordinates of all 4 atoms:
Co (0.500, 0.250, 0.250)
Ir (0.500, 0.750, 0.750)
P (0.000, 0.949, 0.073)
P (0.000, 0.551, 0.427)

Results
The magnetization is 0.0000 μB/atom. For the formation energy, the calculation gives -0.12 eV per atom. The excess energy over the best structure of this formula in the dataset comes out at 26.6 kJ/mol of atoms. For the total energy, the calculation gives -27.3 eV for the cell shown.